DFT (PBE) results for a relaxed BiI2N2 crystal.

Lattice parameters (Å, degrees): 4.3604 4.3604 7.3810 90.00 90.00 90.00
With the nearest neighbours (Å) after each atom.
Space group P4/mmm (No. 123)
Unique sites:
Bi 0.0000 0.0000 0.0000 x1  4 I 3.08
I 0.5000 0.5000 0.0000 x1  4 Bi 3.08
I 0.5000 0.5000 0.5000 x1  4 N 2.18
N 0.0000 0.5000 0.5000 x2  2 I 2.18

Magnetization, μB per cell: 2.27
Total DFT energy (no corrections), eV/atom: -2.9092

DFT (PBE) results for a relaxed BiI2N2 crystal.

Lattice parameters (Å, degrees): 4.5008 4.5008 7.8185 90.00 90.00 90.00
With the nearest neighbours (Å) after each atom.
Space group P4/mmm (No. 123)
Unique sites:
Bi 0.0000 0.0000 0.0000 x1  4 N 2.25
I 0.0000 0.0000 0.5000 x1  4 I 3.18
I 0.5000 0.5000 0.5000 x1  4 I 3.18
N 0.0000 0.5000 0.0000 x2  2 Bi 2.25

Magnetization, μB per cell: 2.09
Total DFT energy (no corrections), eV/atom: -3.2382

DFT (PBE) results for a relaxed NbBiIN2 crystal.

Lattice parameters (Å, degrees): 4.2606 4.2606 5.6023 90.00 90.00 90.00
With the nearest neighbours (Å) after each atom.
Space group P4/mmm (No. 123)
Unique sites:
Nb 0.0000 0.0000 0.0000 x1  4 N 2.13
Bi 0.5000 0.5000 0.5000 x1  4 I 3.01
I 0.0000 0.0000 0.5000 x1  2 Nb 2.80, 4 Bi 3.01
N 0.0000 0.5000 0.0000 x2  2 Nb 2.13

Magnetization, μB per cell: 0.00
Total DFT energy (no corrections), eV/atom: -5.6910

DFT (PBE) results for a relaxed NbBiI2N crystal.

Lattice parameters (Å, degrees): 5.8876 5.8876 3.9355 90.00 90.00 90.00
With the nearest neighbours (Å) after each atom.
Space group P4/mmm (No. 123)
Unique sites:
Nb 0.0000 0.0000 0.0000 x1  2 N 1.97
Bi 0.5000 0.5000 0.5000 x1  8 I 3.54, 2 Bi 3.94
I 0.0000 0.5000 0.0000 x2  2 Nb 2.94
N 0.0000 0.0000 0.5000 x1  2 Nb 1.97

Magnetization, μB per cell: 0.80
Total DFT energy (no corrections), eV/atom: -4.8512

DFT (PBE) results for a relaxed NbBiIN2 crystal.

Lattice parameters (Å, degrees): 4.3234 4.3234 6.4911 90.00 90.00 90.00
With the nearest neighbours (Å) after each atom.
Space group P4/mmm (No. 123)
Unique sites:
Nb 0.0000 0.0000 0.0000 x1  4 I 3.06
Bi 0.5000 0.5000 0.5000 x1  4 N 2.16
I 0.5000 0.5000 0.0000 x1  4 Nb 3.06, 2 Bi 3.25
N 0.0000 0.5000 0.5000 x2  2 Bi 2.16

Magnetization, μB per cell: 3.90
Total DFT energy (no corrections), eV/atom: -4.4672

DFT (PBE) results for a relaxed NbBiI2N crystal.

Lattice parameters (Å, degrees): 6.2913 6.2913 4.1669 90.00 90.00 90.00
With the nearest neighbours (Å) after each atom.
Space group P4/mmm (No. 123)
Unique sites:
Nb 0.0000 0.0000 0.0000 x1  8 I 3.77, 2 Nb 4.17
Bi 0.5000 0.5000 0.5000 x1  2 N 2.08
I 0.0000 0.5000 0.5000 x2  2 Bi 3.15
N 0.5000 0.5000 0.0000 x1  2 Bi 2.08

Magnetization, μB per cell: 3.74
Total DFT energy (no corrections), eV/atom: -3.7487

DFT (PBE) results for a relaxed NiBiI2N crystal.

Lattice parameters (Å, degrees): 5.8078 5.8078 3.5466 90.00 90.00 90.00
With the nearest neighbours (Å) after each atom.
Space group P4/mmm (No. 123)
Unique sites:
Ni 0.0000 0.0000 0.0000 x1  2 N 1.77
Bi 0.5000 0.5000 0.5000 x1  8 I 3.40, 2 Bi 3.55
I 0.0000 0.5000 0.0000 x2  2 Ni 2.90
N 0.0000 0.0000 0.5000 x1  2 Ni 1.77

Magnetization, μB per cell: 0.36
Total DFT energy (no corrections), eV/atom: -3.6650

DFT (PBE) results for a relaxed NiBiI2N crystal.

Lattice parameters (Å, degrees): 6.2684 6.2684 4.2092 90.00 90.00 90.00
With the nearest neighbours (Å) after each atom.
Space group P4/mmm (No. 123)
Unique sites:
Ni 0.0000 0.0000 0.0000 x1  8 I 3.78, 2 Ni 4.21
Bi 0.5000 0.5000 0.5000 x1  2 N 2.10
I 0.0000 0.5000 0.5000 x2  2 Bi 3.13
N 0.5000 0.5000 0.0000 x1  2 Bi 2.10

Magnetization, μB per cell: 1.29
Total DFT energy (no corrections), eV/atom: -2.9748